# 1
The following is a DFT calculation (PBE-GGA) of a geometry-optimized TaCrBr2 structure.

```
TaCrBr2
1.0
6.727 0.023 -0.002
4.286 5.185 0.002
-5.034 -3.603 2.632
Br Cr Ta
2 1 1
Direct
0.059 0.059 0.000 Br
0.772 0.272 0.500 Br
0.424 0.424 0.000 Cr
0.246 0.746 0.500 Ta
```

Calculated values
Space group: No. 44
E_form (uncorrected): 0.479 eV per atom
E above lowest polymorph: 0.422 eV per atom
Total magnetization: 2.86 μB per cell

# 2
The following is a DFT calculation (PBE-GGA) of a geometry-optimized Dy2Al3NiPt4 structure.

```
Dy2Al3NiPt4
1.0
-1.531 3.630 -0.992
-1.440 -1.554 -3.466
-9.367 -2.571 5.045
Dy Al Ni Pt
2 3 1 4
Direct
0.500 0.000 0.263 Dy
0.000 0.500 0.737 Dy
0.000 0.000 0.500 Al
0.500 0.000 0.867 Al
0.000 0.500 0.133 Al
0.500 0.500 0.500 Ni
0.500 0.500 0.000 Pt
0.000 0.000 0.000 Pt
0.500 0.000 0.643 Pt
0.000 0.500 0.357 Pt
```

Calculated values
Space group: No. 115
Energy of formation from the pure elements: -1.007 eV per atom
Total magnetization: 0.00 μB per cell

# 3
The following is a DFT calculation (PBE-GGA) of a geometry-optimized DyEr2NpO8 structure.

```
DyEr2NpO8
1.0
-0.592 -1.744 -3.364
-0.896 -4.467 2.783
-7.186 1.684 0.391
Dy Er Np O
1 2 1 8
Direct
0.000 0.000 0.500 Dy
0.500 0.500 0.741 Er
0.500 0.500 0.259 Er
0.000 0.000 0.000 Np
0.020 0.760 0.224 O
0.531 0.771 0.000 O
0.980 0.240 0.224 O
0.980 0.240 0.776 O
0.469 0.229 0.000 O
0.020 0.760 0.776 O
0.499 0.747 0.500 O
0.501 0.253 0.500 O
```

Calculated values
Space group: No. 10
E_form (uncorrected): -3.217 eV per atom
Total magnetization: 0.01 μB per cell

# 4
The following is a DFT calculation (PBE-GGA) of a geometry-optimized Rb2ScZnF6 structure.

```
Rb2ScZnF6
1.0
-0.211 6.223 -0.915
-3.110 0.692 5.427
2.202 3.906 4.412
Sc Zn Rb F
1 1 2 6
Direct
0.500 0.500 0.000 Sc
0.000 0.000 0.000 Zn
0.750 0.250 0.500 Rb
0.250 0.750 0.500 Rb
0.270 0.270 0.459 F
0.730 0.730 0.541 F
0.271 0.271 0.000 F
0.729 0.729 0.000 F
0.729 0.271 0.000 F
0.271 0.729 0.000 F
```

Calculated values
Space group: No. 139
E_form (uncorrected): -2.920 eV per atom
Total magnetization: 1.00 μB per cell